No. 1
The following is a PBEsol calculation of RbBa3Sc after structural relaxation, from Alexandria via LeMat-Bulk.

extended XYZ file:
```
5
Lattice="-1.5681 -4.2515 -5.0773 6.6175 -0.8091 -1.3663 0.2500 -5.2520 4.3206" Properties=species:S:1:pos:R:3 pbc="T T T"
Sc 0.0000 0.0000 0.0000
Ba 3.3088 -0.4045 -0.6832
Ba 0.1250 -2.6260 2.1603
Ba -0.7841 -2.1258 -2.5386
Rb 2.6497 -5.1563 -1.0615
```

Properties
* M_tot: 3.402 μB per cell
* E: -2.35 eV/atom

=====

No. 2
The following is a PBEsol calculation of Rb3BaSn after structural relaxation, from Alexandria via LeMat-Bulk.

extended XYZ file:
```
5
Lattice="-0.9716 -0.6923 -6.9608 4.7466 -5.2274 -0.1426 -5.1383 -4.6980 1.1845" Properties=species:S:1:pos:R:3 pbc="T T T"
Ba -0.6817 -5.3088 -2.9595
Rb 2.3733 -2.6137 -0.0713
Rb -2.5691 -2.3490 0.5922
Rb -0.4858 -0.3462 -3.4804
Sn 0.0000 0.0000 0.0000
```

Properties
* M_tot: 0.949 μB per cell
* E: -1.65 eV/atom

=====

No. 3
The following is a PBEsol calculation of RbBaSr3 after structural relaxation, from Alexandria via LeMat-Bulk.

extended XYZ file:
```
5
Lattice="-5.5772 3.9472 1.4500 -3.7175 -3.5023 -4.7647 -1.9655 -4.5761 4.8973" Properties=species:S:1:pos:R:3 pbc="T T T"
Sr -1.8587 -1.7512 -2.3823
Sr -0.9828 -2.2881 2.4486
Sr -2.7886 1.9736 0.7250
Ba 0.0000 0.0000 0.0000
Rb -5.6301 -2.0656 0.7913
```

Properties
* M_tot: 3.219 μB per cell
* E: -1.19 eV/atom

=====

No. 4
The following is a PBEsol calculation of RbBa2Sr after structural relaxation, from Alexandria via LeMat-Bulk.

extended XYZ file:
```
4
Lattice="-0.4286 -3.9619 -5.8024 5.4801 -3.9510 -1.9767 -0.3379 -7.0101 0.5418" Properties=species:S:1:pos:R:3 pbc="T T T"
Sr 2.3568 -7.4615 -3.6187
Ba 1.1784 -3.7308 -1.8093
Ba 3.5352 -11.1923 -5.4280
Rb 0.0000 0.0000 0.0000
```

Properties
* M_tot: 0.002 μB per cell
* E: -1.65 eV/atom

=====

Computed ρ, in the same sequence as the records: 2.858, 2.416, 2.367, 3.015 g/cm³.